# 1
## Nd3Mg7Pd4 (PBE)

Data for a geometry-optimized Nd3Mg7Pd4 structure.

DOS at the Fermi energy in states/eV per cell: 7.31
Calculated density in g cm⁻³: 5.48
Calculated formation energy in eV per atom: -0.52

abc: 8.370 8.370 10.462
angles: 122.84 122.84 30.94
Element x y z (fractional)
Nd1 0.000 0.000 0.000
Nd2 0.304 0.304 0.288
Nd3 0.696 0.696 0.712
Mg1 0.000 0.000 0.500
Mg2 0.166 0.166 0.429
Mg3 0.320 0.320 0.986
Mg4 0.486 0.486 0.701
Mg5 0.514 0.514 0.299
Mg6 0.680 0.680 0.014
Mg7 0.834 0.834 0.571
Pd1 0.107 0.107 0.823
Pd2 0.335 0.335 0.736
Pd3 0.665 0.665 0.264
Pd4 0.893 0.893 0.177

---

# 2
## Sm8Tl2Pt (PBE)

Data for a geometry-optimized Sm8Tl2Pt structure.

Distance to the lowest polymorph of the same formula in eV/f.u.: 0.00
DOS at the Fermi energy in states/eV per cell: 11.44
Calculated density in g cm⁻³: 8.98
Calculated formation energy in eV per atom: -0.33

abc: 10.061 10.061 6.892
angles: 103.63 103.63 29.57
Element x y z (fractional)
Sm1 0.017 0.017 0.280
Sm2 0.211 0.211 0.823
Sm3 0.351 0.351 0.507
Sm4 0.410 0.410 0.041
Sm5 0.590 0.590 0.959
Sm6 0.649 0.649 0.493
Sm7 0.789 0.789 0.177
Sm8 0.983 0.983 0.720
Tl1 0.182 0.182 0.257
Tl2 0.818 0.818 0.743
Pt1 0.500 0.500 0.500

---

# 3
## TlZnP2 (PBE)

Data for a geometry-optimized TlZnP2 structure.

Distance to the lowest polymorph of the same formula in eV/f.u.: 1.88
DOS at the Fermi energy in states/eV per cell: 4.06
Calculated density in g cm⁻³: 7.07
Calculated formation energy in eV per atom: 0.58

abc: 5.519 7.507 3.761
angles: 90.00 90.00 90.00
Element x y z (fractional)
Tl1 0.000 0.000 0.000
Tl2 0.500 0.500 0.000
Zn1 0.000 0.500 0.000
Zn2 0.500 0.000 0.000
P1 0.250 0.250 0.500
P2 0.250 0.750 0.500
P3 0.750 0.250 0.500
P4 0.750 0.750 0.500

---

# 4
## Pu2ZnGa12 (PBE)

Data for a geometry-optimized Pu2ZnGa12 structure.

DOS at the Fermi energy in states/eV per cell: 53.67
Calculated density in g cm⁻³: 7.90
Calculated formation energy in eV per atom: -0.19

abc: 6.196 6.196 15.229
angles: 90.00 90.00 90.00
Element x y z (fractional)
Pu1 0.250 0.750 0.243
Pu2 0.250 0.750 0.757
Pu3 0.750 0.250 0.243
Pu4 0.750 0.250 0.757
Zn1 0.250 0.750 0.000
Zn2 0.750 0.250 0.000
Ga1 0.000 0.000 0.091
Ga2 0.000 0.000 0.909
Ga3 0.000 0.500 0.091
Ga4 0.000 0.500 0.909
Ga5 0.079 0.579 0.429
Ga6 0.079 0.921 0.571
Ga7 0.250 0.250 0.184
Ga8 0.250 0.250 0.344
Ga9 0.250 0.250 0.656
Ga10 0.250 0.250 0.816
Ga11 0.421 0.579 0.571
Ga12 0.421 0.921 0.429
Ga13 0.500 0.000 0.091
Ga14 0.500 0.000 0.909
Ga15 0.500 0.500 0.091
Ga16 0.500 0.500 0.909
Ga17 0.579 0.079 0.571
Ga18 0.579 0.421 0.429
Ga19 0.750 0.750 0.184
Ga20 0.750 0.750 0.344
Ga21 0.750 0.750 0.656
Ga22 0.750 0.750 0.816
Ga23 0.921 0.079 0.429
Ga24 0.921 0.421 0.571

---

# 5
## BSeIN2 (PBE)

Data for a geometry-optimized BSeIN2 structure.

Distance to the lowest polymorph of the same formula in eV/f.u.: 1.08
DOS at the Fermi energy in states/eV per cell: 2.86
Calculated density in g cm⁻³: 3.69

abc: 3.748 3.748 7.845
angles: 90.00 90.00 90.00
Element x y z (fractional)
B1 0.000 0.000 0.000
Se1 0.500 0.500 0.500
I1 0.500 0.500 0.000
N1 0.000 0.500 0.500
N2 0.500 0.000 0.500

---

# 6
## Pm4Pr2Dy5 (PBE)

Data for a geometry-optimized Pm4Pr2Dy5 structure.

Distance to the lowest polymorph of the same formula in eV/f.u.: 0.22
DOS at the Fermi energy in states/eV per cell: 19.96
Calculated density in g cm⁻³: 7.50
Calculated formation energy in eV per atom: 0.14

abc: 12.218 12.218 8.851
angles: 96.52 96.52 16.40
Element x y z (fractional)
Pm1 0.046 0.046 0.358
Pm2 0.321 0.321 0.529
Pm3 0.679 0.679 0.471
Pm4 0.954 0.954 0.642
Pr1 0.090 0.090 0.740
Pr2 0.910 0.910 0.260
Dy1 0.142 0.142 0.118
Dy2 0.233 0.233 0.829
Dy3 0.500 0.500 0.000
Dy4 0.767 0.767 0.171
Dy5 0.858 0.858 0.882

---

# 7
## Tl12In5Pb2 (PBE)

Data for a geometry-optimized Tl12In5Pb2 structure.

Distance to the lowest polymorph of the same formula in eV/f.u.: 0.50
DOS at the Fermi energy in states/eV per cell: 9.83
Calculated density in g cm⁻³: 9.71
Calculated formation energy in eV per atom: 0.06

abc: 11.542 11.542 8.443
angles: 109.57 109.57 33.95
Element x y z (fractional)
Tl1 0.048 0.548 0.704
Tl2 0.051 0.051 0.205
Tl3 0.141 0.649 0.104
Tl4 0.351 0.859 0.896
Tl5 0.358 0.358 0.439
Tl6 0.452 0.952 0.296
Tl7 0.548 0.048 0.704
Tl8 0.642 0.642 0.561
Tl9 0.649 0.141 0.104
Tl10 0.859 0.351 0.896
Tl11 0.949 0.949 0.795
Tl12 0.952 0.452 0.296
In1 0.152 0.152 0.609
In2 0.254 0.254 0.014
In3 0.500 0.500 0.000
In4 0.746 0.746 0.986
In5 0.848 0.848 0.391
Pb1 0.249 0.751 0.500
Pb2 0.751 0.249 0.500

---

# 8
## Mg2AlW (PBE)

Data for a geometry-optimized Mg2AlW structure.

DOS at the Fermi energy in states/eV per cell: 3.11
Calculated density in g cm⁻³: 6.08
Calculated formation energy in eV per atom: 0.51

abc: 4.875 4.875 2.981
angles: 90.00 90.00 90.00
Element x y z (fractional)
Mg1 0.000 0.500 0.000
Mg2 0.500 0.000 0.000
Al1 0.000 0.000 0.500
W1 0.500 0.500 0.500

---

# 9
## Pu3AgGe3 (PBE)

Data for a geometry-optimized Pu3AgGe3 structure.

DOS at the Fermi energy in states/eV per cell: 51.70
Calculated density in g cm⁻³: 10.95
Calculated formation energy in eV per atom: -0.23

abc: 6.590 6.590 8.098
angles: 95.42 95.42 112.29
Element x y z (fractional)
Pu1 0.175 0.825 0.000
Pu2 0.235 0.765 0.500
Pu3 0.355 0.355 0.130
Pu4 0.645 0.645 0.870
Pu5 0.765 0.235 0.500
Pu6 0.825 0.175 0.000
Ag1 0.310 0.310 0.519
Ag2 0.690 0.690 0.481
Ge1 0.000 0.000 0.279
Ge2 0.000 0.000 0.721
Ge3 0.136 0.446 0.781
Ge4 0.446 0.136 0.781
Ge5 0.554 0.864 0.219
Ge6 0.864 0.554 0.219

---

# 10
## BeSeN3 (PBE)

Data for a geometry-optimized BeSeN3 structure.

DOS at the Fermi energy in states/eV per cell: 3.85
Calculated density in g cm⁻³: 4.85
Uncorrected energy in eV per atom: -4.66

abc: 3.544 3.544 3.544
angles: 90.00 90.00 90.00
Element x y z (fractional)
Be1 0.000 0.000 0.000
Se1 0.500 0.500 0.500
N1 0.000 0.000 0.500
N2 0.000 0.500 0.000
N3 0.500 0.000 0.000

---

# 11
## LaPaAu (PBE)

Data for a geometry-optimized LaPaAu structure.

Distance to the lowest polymorph of the same formula in eV/f.u.: 0.00
DOS at the Fermi energy in states/eV per cell: 20.96
Calculated density in g cm⁻³: 11.43
Calculated formation energy in eV per atom: -0.29

abc: 4.328 4.328 17.576
angles: 90.00 90.00 90.00
Element x y z (fractional)
La1 0.000 0.000 0.175
La2 0.000 0.000 0.825
La3 0.500 0.500 0.325
La4 0.500 0.500 0.675
Pa1 0.000 0.500 0.000
Pa2 0.000 0.500 0.500
Pa3 0.500 0.000 0.000
Pa4 0.500 0.000 0.500
Au1 0.000 0.000 0.363
Au2 0.000 0.000 0.637
Au3 0.500 0.500 0.137
Au4 0.500 0.500 0.863

---

# 12
## PrSnAsRh2 (PBE)

Data for a geometry-optimized PrSnAsRh2 structure.

DOS at the Fermi energy in states/eV per cell: 8.72
Calculated density in g cm⁻³: 8.41
Calculated formation energy in eV per atom: -0.70

abc: 6.872 6.872 7.432
angles: 90.00 90.00 142.56
Element x y z (fractional)
Pr1 0.087 0.913 0.750
Pr2 0.913 0.087 0.250
Sn1 0.206 0.794 0.250
Sn2 0.794 0.206 0.750
As1 0.500 0.500 0.000
As2 0.500 0.500 0.500
Rh1 0.320 0.680 0.551
Rh2 0.320 0.680 0.949
Rh3 0.680 0.320 0.051
Rh4 0.680 0.320 0.449

---

Which formula does entry 10 have? BeSeN3

---

Number 3 is which compound? TlZnP2